The following is a PBE-GGA calculation of a relaxed BaZrSe2 crystal, from Alexandria via LeMat-Bulk.

Values from the calculation:
SG   R-3m (166)
Energy relative to the elements, uncorrected   -833 meV/atom

a = 9.1676 Å, b = 9.1676 Å, c = 9.1676 Å
α = 28.66°, β = 28.66°, γ = 28.66°
With the nearest neighbours (Å) after each atom.
Sites, in units of the cell vectors:
1 Zr 0.0000 0.0000 0.0000  2 Se 2.53
2 Se 0.9041 0.9041 0.9041  1 Zr 2.53
3 Se 0.0959 0.0959 0.0959  1 Zr 2.53
4 Ba 0.5000 0.5000 0.5000  6 Se 3.22


The following is a PBE-GGA calculation of a relaxed Pm4DyAg crystal, from Alexandria via LeMat-Bulk.

Values from the calculation:
Formation enthalpy at 0 K   39 meV per atom
SG   Cmc2_1 (36)

a = 5.5369 Å, b = 6.5216 Å, c = 10.8933 Å
α = 90.00°, β = 104.72°, γ = 90.00°
With the nearest neighbours (Å) after each atom.
Sites, in units of the cell vectors:
1 Pm 0.6773 0.5664 0.3545  1 Ag 3.04, 4 Pm 3.20-3.40
2 Pm 0.4655 0.8797 0.9311  2 Ag 3.03-3.06, 1 Pm 3.25
3 Pm 0.5345 0.3797 0.0689  2 Ag 3.03-3.06, 1 Pm 3.25
4 Pm 0.0641 0.7094 0.1281  2 Ag 3.38, 6 Pm 3.56-3.77, 2 Dy 3.56-3.58
5 Pm 0.2525 0.5965 0.5050  1 Ag 3.08, 3 Pm 3.20-3.40
6 Pm 0.9359 0.2094 0.8719  2 Ag 3.38, 6 Pm 3.56-3.77, 2 Dy 3.56-3.58
7 Pm 0.7475 0.0965 0.4950  1 Ag 3.08, 3 Pm 3.20-3.40
8 Pm 0.3227 0.0664 0.6455  1 Ag 3.04, 4 Pm 3.20-3.40
9 Dy 0.8670 0.7084 0.7340  2 Ag 3.21, 3 Pm 3.56-3.58
10 Dy 0.1330 0.2084 0.2660  2 Ag 3.21, 3 Pm 3.56-3.58
11 Ag 0.6065 0.9730 0.2130  6 Pm 3.03-3.38, 2 Dy 3.21
12 Ag 0.3935 0.4730 0.7870  6 Pm 3.03-3.38, 2 Dy 3.21